Tm2Ag3Hg | PBE-GGA | relaxed

Structure (POSCAR):
```
Tm2Ag3Hg
1.0
6.592 -2.010 0.000
6.592 2.010 0.000
-2.487 0.000 10.233
Tm Ag Hg
4 6 2
Direct
0.067 0.067 0.351
0.221 0.221 0.852
0.779 0.779 0.148
0.933 0.933 0.649
0.108 0.108 0.073
0.260 0.260 0.594
0.462 0.462 0.131
0.538 0.538 0.869
0.740 0.740 0.406
0.892 0.892 0.927
0.398 0.398 0.387
0.602 0.602 0.613
```

Computed properties:
Calculated formation energy, eV/atom: -0.22
Final energy, eV per atom: -3.19
Volume, Å³/atom: 22.6